Compound: PPd
Source: the Alexandria database
Functional: GGA-PBE
Structure: optimized geometry

Lattice parameters (Å, degrees): 7.034 7.034 3.196 90.00 90.00 90.00
Element x y z (fractional)
Pd1 0.861 0.139 0.500
Pd2 0.361 0.361 0.000
Pd3 0.139 0.861 0.500
Pd4 0.639 0.639 0.000
P1 0.693 0.307 0.000
P2 0.807 0.807 0.500
P3 0.307 0.693 0.000
P4 0.193 0.193 0.500

Properties
E_tot: -5.451 eV per atom
Calculated formation energy: -149 meV/atom

***

Compound: PPd
Source: the Alexandria database
Functional: GGA-PBE
Structure: optimized geometry

Lattice parameters (Å, degrees): 3.296 7.477 5.494 90.00 105.34 90.00
Element x y z (fractional)
P1 0.813 0.000 0.139
P2 0.187 0.500 0.361
P3 0.813 0.500 0.639
P4 0.187 0.000 0.861
Pd1 0.000 0.188 0.500
Pd2 0.000 0.812 0.500
Pd3 0.000 0.312 0.000
Pd4 0.000 0.688 0.000

Properties
E_tot: -5.608 eV per atom
Calculated formation energy: -306 meV/atom

***

| no. | calculated volume (Å³ per cell) |
| --- | --- |
| 1 | 158.1 |
| 2 | 130.6 |